No. 1
First-principles (GGA-PBE) data for crystalline DyNb2Os2 at its relaxed geometry, as listed in the Alexandria database.

Fermi-level density of states ... 0.4856 states/eV/atom
Total energy ... -0.3560 hartree per atom
Total magnetic moment ... 0.0 μB per formula unit
DFT formation energy ... -23.9 kJ per mole of atoms

Cell lengths 4.4009, 4.4009, 6.1659 Å; angles 110.91, 110.91, 90.00 degrees
Positions (direct):
Dy: 0.0000 0.0000 0.0000
Nb: 0.7500 0.2500 0.5000
Nb: 0.2500 0.7500 0.5000
Os: 0.6182 0.6182 0.2365
Os: 0.3818 0.3818 0.7635

No. 2
First-principles (GGA-PBE) data for crystalline PuThCuIr at its relaxed geometry, as listed in the Alexandria database.

Fermi-level density of states ... 2.2202 states/eV/atom
Total energy ... -0.3316 hartree per atom
Total magnetic moment ... 5.5 μB per formula unit
DFT formation energy ... -33.4 kJ per mole of atoms

Cell lengths 4.9700, 4.9700, 4.9700 Å; angles 60.00, 60.00, 60.00 degrees
Each line ends with the local moment (μB).
Positions (direct):
Ir: 0.7500 0.7500 0.7500  -0.22
Cu: 0.2500 0.2500 0.2500  0.02
Th: 0.5000 0.5000 0.5000  0.14
Pu: 0.0000 0.0000 0.0000  5.21

No. 3
First-principles (GGA-PBE) data for crystalline LaNdTc at its relaxed geometry, as listed in the Alexandria database.

Fermi-level density of states ... 0.7074 states/eV/atom
Energy above the most stable polymorph in this dataset ... 187 meV per atom
Total energy ... -0.2353 hartree per atom
Total magnetic moment ... 0.0 μB per formula unit
DFT formation energy ... 27.5 kJ per mole of atoms

Cell lengths 5.3183, 9.1957, 9.1956 Å; angles 85.17, 73.19, 73.19 degrees
Positions (direct):
La: 0.5000 0.6634 0.3366
La: 0.1644 0.3366 0.3367
La: 0.8356 0.6634 0.6633
La: 0.5000 0.3366 0.6634
Nd: 0.8393 0.0000 0.3220
Nd: 0.8392 0.3222 0.0000
Nd: 0.1608 0.6778 0.0000
Nd: 0.1607 0.0000 0.6780
Tc: 0.0000 0.7010 0.2990
Tc: 0.7008 0.2989 0.2989
Tc: 0.2992 0.7011 0.7011
Tc: 0.0000 0.2990 0.7010

No. 4
First-principles (GGA-PBE) data for crystalline DyTaCo4 at its relaxed geometry, as listed in the Alexandria database.

Fermi-level density of states ... 1.3153 states/eV/atom
Total energy ... -0.2784 hartree per atom
Total magnetic moment ... 2.1 μB per formula unit
DFT formation energy ... -9.2 kJ per mole of atoms

Cell lengths 4.8954, 4.8954, 4.8954 Å; angles 60.00, 60.00, 60.00 degrees
Each line ends with the local moment (μB).
Positions (direct):
Dy: 0.0000 0.0000 0.0000  -0.17
Co: 0.6248 0.6248 0.1256  0.67
Co: 0.6248 0.1256 0.6248  0.67
Co: 0.6248 0.6248 0.6248  0.67
Co: 0.1256 0.6248 0.6248  0.67
Ta: 0.2500 0.2500 0.2500  -0.27

> What is the Fermi-level density of states in the fourth record?

1.3153 states/eV/atom